(1)
K2AcZn2O4 after structural relaxation. Source: Alexandria, functional PBE-GGA.

Summary:
Its total energy is -4.882 eV per atom. As for the space-group type: C2/m, No. 12. Its density of states at the Fermi level is 0.174 states/eV per atom. The uncorrected formation energy comes out at -15.254 eV per formula unit.

a = 6.731 Å, b = 6.731 Å, c = 9.056 Å
α = 126.75°, β = 126.75°, γ = 32.53°
Fractional positions:
K (0.157, 0.157, 0.255)
K (0.843, 0.843, 0.745)
Ac (0.000, 0.000, 0.500)
Zn (0.360, 0.360, 0.114)
Zn (0.640, 0.640, 0.886)
O (0.215, 0.215, 0.836)
O (0.454, 0.454, 0.637)
O (0.546, 0.546, 0.363)
O (0.785, 0.785, 0.164)

***

(2)
KAc2ZnO5 after structural relaxation. Source: Alexandria, functional PBE-GGA.

Summary:
Its total energy is -6.264 eV per atom. As for the space-group type: I4/mcm, No. 140. Its density of states at the Fermi level is 0.855 states/eV per atom. The uncorrected formation energy comes out at -20.998 eV per formula unit.

a = 7.776 Å, b = 7.776 Å, c = 7.776 Å
α = 124.59°, β = 124.59°, γ = 82.22°
Fractional positions:
K (0.250, 0.250, 0.000)
K (0.750, 0.750, 0.000)
Ac (0.177, 0.677, 0.854)
Ac (0.323, 0.177, 0.500)
Ac (0.677, 0.823, 0.500)
Ac (0.823, 0.323, 0.146)
Zn (0.250, 0.750, 0.500)
Zn (0.750, 0.250, 0.500)
O (0.000, 0.000, 0.000)
O (0.004, 0.237, 0.500)
O (0.237, 0.737, 0.233)
O (0.263, 0.496, 0.500)
O (0.496, 0.996, 0.233)
O (0.500, 0.500, 0.000)
O (0.504, 0.004, 0.767)
O (0.737, 0.504, 0.500)
O (0.763, 0.263, 0.767)
O (0.996, 0.763, 0.500)

***

(3)
K2AcZr2O7 after structural relaxation. Source: Alexandria, functional PBE-GGA.

Summary:
Its total energy is -7.600 eV per atom. As for the space-group type: I4/mmm, No. 139. Its density of states at the Fermi level is 0.572 states/eV per atom. The uncorrected formation energy comes out at -33.096 eV per formula unit.

a = 11.796 Å, b = 11.796 Å, c = 11.796 Å
α = 159.76°, β = 159.76°, γ = 28.78°
Fractional positions:
K (0.196, 0.196, 0.000)
K (0.804, 0.804, 0.000)
Ac (0.000, 0.000, 0.000)
Zr (0.401, 0.401, 0.000)
Zr (0.599, 0.599, 0.000)
O (0.080, 0.580, 0.500)
O (0.315, 0.315, 0.000)
O (0.420, 0.920, 0.500)
O (0.500, 0.500, 0.000)
O (0.580, 0.080, 0.500)
O (0.685, 0.685, 0.000)
O (0.920, 0.420, 0.500)

***

(4)
K3Ac2ZrO6 after structural relaxation. Source: Alexandria, functional PBE-GGA.

Summary:
Its total energy is -6.623 eV per atom. As for the space-group type: C2/m, No. 12. Its density of states at the Fermi level is 0.221 states/eV per atom. The uncorrected formation energy comes out at -29.664 eV per formula unit.

a = 6.450 Å, b = 6.450 Å, c = 6.784 Å
α = 97.92°, β = 97.92°, γ = 120.50°
Fractional positions:
K (0.000, 0.000, 0.000)
K (0.349, 0.651, 0.000)
K (0.651, 0.349, 0.000)
Ac (0.167, 0.833, 0.500)
Ac (0.833, 0.167, 0.500)
Zr (0.500, 0.500, 0.500)
O (0.158, 0.447, 0.329)
O (0.261, 0.261, 0.678)
O (0.447, 0.158, 0.329)
O (0.553, 0.842, 0.671)
O (0.739, 0.739, 0.322)
O (0.842, 0.553, 0.671)

***

(5)
KAc2ZrO6 after structural relaxation. Source: Alexandria, functional PBE-GGA.

Summary:
Its total energy is -7.603 eV per atom. As for the space-group type: P2_1/c, No. 14. Its density of states at the Fermi level is 0.714 states/eV per atom. The uncorrected formation energy comes out at -28.417 eV per formula unit.

a = 6.054 Å, b = 6.470 Å, c = 10.780 Å
α = 90.00°, β = 122.98°, γ = 90.00°
Fractional positions:
K (0.000, 0.000, 0.000)
K (0.000, 0.500, 0.500)
Ac (0.214, 0.037, 0.723)
Ac (0.214, 0.463, 0.223)
Ac (0.786, 0.537, 0.777)
Ac (0.786, 0.963, 0.277)
Zr (0.500, 0.000, 0.500)
Zr (0.500, 0.500, 0.000)
O (0.170, 0.149, 0.476)
O (0.170, 0.351, 0.976)
O (0.225, 0.749, 0.880)
O (0.225, 0.751, 0.380)
O (0.433, 0.122, 0.298)
O (0.433, 0.378, 0.798)
O (0.567, 0.622, 0.202)
O (0.567, 0.878, 0.702)
O (0.775, 0.249, 0.620)
O (0.775, 0.251, 0.120)
O (0.830, 0.649, 0.024)
O (0.830, 0.851, 0.524)

***

(6)
KAc3Os after structural relaxation. Source: Alexandria, functional PBE-GGA.

Summary:
Its total energy is -4.856 eV per atom. As for the space-group type: Pm-3m, No. 221. Its density of states at the Fermi level is 0.891 states/eV per atom.

a = 6.004 Å, b = 6.004 Å, c = 6.004 Å
α = 90.00°, β = 90.00°, γ = 90.00°
Fractional positions:
K (0.000, 0.000, 0.000)
Ac (0.000, 0.500, 0.500)
Ac (0.500, 0.000, 0.500)
Ac (0.500, 0.500, 0.000)
Os (0.500, 0.500, 0.500)

***

(7)
KAc3P after structural relaxation. Source: Alexandria, functional PBE-GGA.

Summary:
Its total energy is -4.038 eV per atom. As for the space-group type: Pm-3m, No. 221. Its density of states at the Fermi level is 1.815 states/eV per atom.

a = 6.069 Å, b = 6.069 Å, c = 6.069 Å
α = 90.00°, β = 90.00°, γ = 90.00°
Fractional positions:
K (0.000, 0.000, 0.000)
Ac (0.000, 0.500, 0.500)
Ac (0.500, 0.000, 0.500)
Ac (0.500, 0.500, 0.000)
P (0.500, 0.500, 0.500)

***

(8)
K2AcP2S6 after structural relaxation. Source: Alexandria, functional PBE-GGA.

Summary:
Its total energy is -4.705 eV per atom. As for the space-group type: R-3m, No. 166. Its density of states at the Fermi level is 0.242 states/eV per atom. The uncorrected formation energy comes out at -9.869 eV per formula unit.

a = 8.509 Å, b = 8.509 Å, c = 8.509 Å
α = 49.38°, β = 49.38°, γ = 49.38°
Fractional positions:
K (0.212, 0.212, 0.212)
K (0.788, 0.788, 0.788)
Ac (0.000, 0.000, 0.000)
P (0.447, 0.447, 0.447)
P (0.553, 0.553, 0.553)
S (0.244, 0.737, 0.737)
S (0.263, 0.263, 0.756)
S (0.263, 0.756, 0.263)
S (0.737, 0.244, 0.737)
S (0.737, 0.737, 0.244)
S (0.756, 0.263, 0.263)

***

(9)
K3Ac3PaS8 after structural relaxation. Source: Alexandria, functional PBE-GGA.

Summary:
Its total energy is -5.713 eV per atom. As for the space-group type: R-3m, No. 166. Its density of states at the Fermi level is 0.183 states/eV per atom. The uncorrected formation energy comes out at -27.569 eV per formula unit.

a = 9.009 Å, b = 9.009 Å, c = 9.009 Å
α = 57.97°, β = 57.97°, γ = 57.97°
Fractional positions:
K (0.000, 0.500, 0.500)
K (0.500, 0.000, 0.500)
K (0.500, 0.500, 0.000)
Ac (0.000, 0.000, 0.500)
Ac (0.000, 0.500, 0.000)
Ac (0.500, 0.000, 0.000)
Pa (0.500, 0.500, 0.500)
S (0.238, 0.238, 0.238)
S (0.258, 0.720, 0.720)
S (0.280, 0.280, 0.742)
S (0.280, 0.742, 0.280)
S (0.720, 0.258, 0.720)
S (0.720, 0.720, 0.258)
S (0.742, 0.280, 0.280)
S (0.762, 0.762, 0.762)

***

(10)
KAcPaS4 after structural relaxation. Source: Alexandria, functional PBE-GGA.

Summary:
Its total energy is -6.198 eV per atom. As for the space-group type: Imma, No. 74. Its density of states at the Fermi level is 0.815 states/eV per atom. The uncorrected formation energy comes out at -12.172 eV per formula unit.

a = 8.748 Å, b = 8.748 Å, c = 8.748 Å
α = 123.08°, β = 118.47°, γ = 88.71°
Fractional positions:
K (0.381, 0.131, 0.250)
K (0.619, 0.869, 0.750)
Ac (0.000, 0.500, 0.500)
Ac (0.500, 0.500, 0.000)
Pa (0.000, 0.000, 0.500)
Pa (0.000, 0.500, 0.000)
S (0.192, 0.738, 0.453)
S (0.215, 0.262, 0.953)
S (0.217, 0.236, 0.519)
S (0.217, 0.698, 0.981)
S (0.783, 0.302, 0.019)
S (0.783, 0.764, 0.481)
S (0.785, 0.738, 0.047)
S (0.808, 0.262, 0.547)

***

(11)
K4Ac3PaS8 after structural relaxation. Source: Alexandria, functional PBE-GGA.

Summary:
Its total energy is -5.459 eV per atom. As for the space-group type: R-3m, No. 166. Its density of states at the Fermi level is 0.486 states/eV per atom. The uncorrected formation energy comes out at -28.107 eV per formula unit.

a = 8.963 Å, b = 8.963 Å, c = 8.963 Å
α = 57.93°, β = 57.93°, γ = 57.93°
Fractional positions:
K (0.000, 0.000, 0.000)
K (0.000, 0.500, 0.500)
K (0.500, 0.000, 0.500)
K (0.500, 0.500, 0.000)
Ac (0.000, 0.000, 0.500)
Ac (0.000, 0.500, 0.000)
Ac (0.500, 0.000, 0.000)
Pa (0.500, 0.500, 0.500)
S (0.240, 0.240, 0.240)
S (0.256, 0.726, 0.726)
S (0.274, 0.274, 0.744)
S (0.274, 0.744, 0.274)
S (0.726, 0.256, 0.726)
S (0.726, 0.726, 0.256)
S (0.744, 0.274, 0.274)
S (0.760, 0.760, 0.760)

***

(12)
KAc2PaS6 after structural relaxation. Source: Alexandria, functional PBE-GGA.

Summary:
Its total energy is -6.201 eV per atom. As for the space-group type: R3, No. 146. Its density of states at the Fermi level is 0.000 states/eV per atom. The uncorrected formation energy comes out at -18.436 eV per formula unit.

a = 7.818 Å, b = 7.818 Å, c = 7.818 Å
α = 57.11°, β = 57.11°, γ = 57.11°
Fractional positions:
K (0.000, 0.000, 0.000)
Ac (0.212, 0.212, 0.212)
Ac (0.727, 0.727, 0.727)
Pa (0.524, 0.524, 0.524)
S (0.161, 0.425, 0.777)
S (0.357, 0.895, 0.584)
S (0.425, 0.777, 0.161)
S (0.584, 0.357, 0.895)
S (0.777, 0.161, 0.425)
S (0.895, 0.584, 0.357)